{"formula": "Li2SnS3", "functional": "GGA-PBEsol", "state": "optimized geometry", "dft_energy_ev_per_atom": -4.487, "e_form_raw_ev_per_atom": -0.93, "cell": [[-0.305, 3.899, -5.024], [-5.299, 3.351, -1.111], [4.220, 10.380, 5.119]], "species": ["S", "Li", "Li", "S", "S", "Li", "Sn", "S", "Li", "S", "S", "Li", "S", "S", "Li", "S", "Sn", "Li", "Sn", "S", "S", "Sn", "Li", "S"], "frac_coords": [[0.623, 0.487, 0.629], [0.417, 0.166, 0.250], [0.000, 0.500, 0.500], [0.803, 0.166, 0.129], [0.197, 0.834, 0.871], [0.671, 0.170, 0.500], [0.250, 0.499, 0.750], [0.277, 0.181, 0.627], [0.159, 0.170, 0.000], [0.542, 0.181, 0.873], [0.458, 0.819, 0.127], [0.583, 0.834, 0.750], [0.723, 0.819, 0.373], [0.969, 0.834, 0.629], [0.841, 0.830, 0.000], [0.110, 0.513, 0.129], [0.917, 0.167, 0.750], [0.329, 0.830, 0.500], [0.750, 0.501, 0.250], [0.890, 0.487, 0.871], [0.031, 0.166, 0.371], [0.083, 0.833, 0.250], [0.500, 0.500, 0.000], [0.377, 0.513, 0.371]]}